The following is a DFT calculation (PBE-GGA) of a relaxed structure of YReS2Cl.

a = 5.278 Å, b = 5.278 Å, c = 5.086 Å
α = 90.00°, β = 90.00°, γ = 90.00°
Space group P4/mmm (No. 123)
Unique sites:
1 Y 0.000 0.000 0.000 (multiplicity 1)
2 Re 0.500 0.500 0.500 (multiplicity 1)
3 S 0.000 0.500 0.000 (multiplicity 2)
4 Cl 0.000 0.000 0.500 (multiplicity 1)

Computed properties:
* magnetic moment: 5.0 μB/cell
* energy relative to the elements, uncorrected: 128 kJ/mol of formula units
* calculated volume: 28.34 Å³ per atom
* relative energy among the computed polymorphs: 545 meV/atom


The following is a DFT calculation (PBE-GGA) of a relaxed structure of YReSCl2.

a = 4.832 Å, b = 4.832 Å, c = 4.579 Å
α = 90.00°, β = 90.00°, γ = 90.00°
Space group P4/mmm (No. 123)
Unique sites:
1 Y 0.000 0.000 0.000 (multiplicity 1)
2 Re 0.500 0.500 0.500 (multiplicity 1)
3 S 0.500 0.500 0.000 (multiplicity 1)
4 Cl 0.000 0.500 0.500 (multiplicity 2)

Computed properties:
* magnetic moment: 0.0 μB/cell
* energy relative to the elements, uncorrected: -47 kJ/mol of formula units
* calculated volume: 21.39 Å³ per atom
* relative energy among the computed polymorphs: 0 meV/atom


The following is a DFT calculation (PBE-GGA) of a relaxed structure of YRe2SCl.

a = 4.250 Å, b = 4.250 Å, c = 5.991 Å
α = 90.00°, β = 90.00°, γ = 90.00°
Space group P4/mmm (No. 123)
Unique sites:
1 Y 0.000 0.000 0.000 (multiplicity 1)
2 Re 0.000 0.500 0.500 (multiplicity 2)
3 S 0.500 0.500 0.000 (multiplicity 1)
4 Cl 0.500 0.500 0.500 (multiplicity 1)

Computed properties:
* magnetic moment: 1.3 μB/cell
* energy relative to the elements, uncorrected: 470 kJ/mol of formula units
* calculated volume: 21.64 Å³ per atom


The following is a DFT calculation (PBE-GGA) of a relaxed structure of YReS2Cl.

a = 4.651 Å, b = 4.651 Å, c = 4.794 Å
α = 90.00°, β = 90.00°, γ = 90.00°
Space group P4/mmm (No. 123)
Unique sites:
1 Y 0.000 0.000 0.000 (multiplicity 1)
2 Re 0.500 0.500 0.500 (multiplicity 1)
3 S 0.000 0.500 0.500 (multiplicity 2)
4 Cl 0.500 0.500 0.000 (multiplicity 1)

Computed properties:
* magnetic moment: 0.0 μB/cell
* energy relative to the elements, uncorrected: -135 kJ/mol of formula units
* calculated volume: 20.74 Å³ per atom
* relative energy among the computed polymorphs: 0 meV/atom


The following is a DFT calculation (PBE-GGA) of a relaxed structure of ZnReS2Cl.

a = 4.757 Å, b = 4.757 Å, c = 4.558 Å
α = 90.00°, β = 90.00°, γ = 90.00°
Space group P4/mmm (No. 123)
Unique sites:
1 Zn 0.000 0.000 0.000 (multiplicity 1)
2 Re 0.500 0.500 0.500 (multiplicity 1)
3 S 0.000 0.500 0.000 (multiplicity 2)
4 Cl 0.000 0.000 0.500 (multiplicity 1)

Computed properties:
* magnetic moment: 4.2 μB/cell
* energy relative to the elements, uncorrected: 504 kJ/mol of formula units
* calculated volume: 20.63 Å³ per atom
* relative energy among the computed polymorphs: 844 meV/atom


The following is a DFT calculation (PBE-GGA) of a relaxed structure of ZnReSCl2.

a = 4.934 Å, b = 4.934 Å, c = 4.515 Å
α = 90.00°, β = 90.00°, γ = 90.00°
Space group P4/mmm (No. 123)
Unique sites:
1 Zn 0.000 0.000 0.000 (multiplicity 1)
2 Re 0.500 0.500 0.500 (multiplicity 1)
3 S 0.500 0.500 0.000 (multiplicity 1)
4 Cl 0.000 0.500 0.500 (multiplicity 2)

Computed properties:
* magnetic moment: 0.8 μB/cell
* energy relative to the elements, uncorrected: 81 kJ/mol of formula units
* calculated volume: 21.98 Å³ per atom
* relative energy among the computed polymorphs: 0 meV/atom